# 1
First-principles (PBE) data for SiTePb after structural relaxation, as listed in the Alexandria database.

abc: 3.7192 3.7192 7.0415
angles: 90.00 90.00 120.00
Closest atoms and distances in Å follow each position.
Space group P3m1 (No. 156)
Asymmetric unit:
Si (0.0000, 0.0000, 0.0000) [1 per cell]  3 Te 2.68
Te (0.3333, 0.6667, 0.2279) [1 per cell]  3 Si 2.68
Pb (0.6667, 0.3333, 0.6773) [1 per cell]  3 Si 3.13

The distance to the lowest polymorph of the same formula is 4 meV per atom. Its mass density is 7.1 g cm⁻³. The total DFT energy (no corrections) comes out at -3.89 eV per atom.

=====

# 2
First-principles (PBE) data for KRb2Nd after structural relaxation, as listed in the Alexandria database.

abc: 4.0821 4.0821 48.6455
angles: 90.00 90.00 120.00
Closest atoms and distances in Å follow each position.
Space group R-3m (No. 166, hexagonal axes)
Asymmetric unit:
K (0.0000, 0.0000, 0.0000) [3 per cell]  6 K 4.08
Rb (0.0000, 0.0000, 0.4202) [6 per cell]  1 Nd 3.88, 6 Rb 4.08
Nd (0.0000, 0.0000, 0.5000) [3 per cell]  2 Rb 3.88, 6 Nd 4.08

Its mass density is 2.5 g cm⁻³. The total DFT energy (no corrections) comes out at -1.54 eV per atom. The energy of formation from the pure elements is 0.4098 eV per atom.

=====

# 3
First-principles (PBE) data for YBeHg2 after structural relaxation, as listed in the Alexandria database.

abc: 3.5711 4.1681 5.9859
angles: 90.00 102.69 90.00
Closest atoms and distances in Å follow each position.
Space group P2/m (No. 10)
Asymmetric unit:
Y (0.0000, 0.0000, 0.0000) [1 per cell]  2 Be 3.13, 8 Hg 3.16-3.22
Be (0.5000, 0.0000, 0.5000) [1 per cell]  4 Hg 2.55
Hg (0.3820, 0.5000, 0.7202) [2 per cell]  2 Be 2.55

Its mass density is 9.5 g cm⁻³. The total DFT energy (no corrections) comes out at -2.71 eV per atom. The energy of formation from the pure elements is -0.0128 eV per atom.

=====

# 4
First-principles (PBE) data for Mg2AlPN4 after structural relaxation, as listed in the Alexandria database.

abc: 6.1322 5.6615 5.0656
angles: 90.00 90.00 90.00
Closest atoms and distances in Å follow each position.
Space group Pmn2_1 (No. 31)
Asymmetric unit:
Mg (0.2480, 0.1717, 0.0000) [4 per cell]  4 N 2.03-2.13
Al (0.0000, 0.3545, 0.5074) [2 per cell]  4 N 1.86-1.96
P (0.0000, 0.6628, 0.0116) [2 per cell]  4 N 1.65-1.69
N (0.0000, 0.3948, 0.8795) [2 per cell]  1 P 1.66
N (0.0000, 0.6462, 0.3367) [2 per cell]  1 P 1.65
N (0.2283, 0.8094, 0.9182) [4 per cell]  1 P 1.69

Its mass density is 3.1 g cm⁻³. The total DFT energy (no corrections) comes out at -6.73 eV per atom.

=====

# 5
First-principles (PBE) data for Zr6Sb2N after structural relaxation, as listed in the Alexandria database.

abc: 3.5275 13.1569 7.8508
angles: 90.00 90.00 90.00
Closest atoms and distances in Å follow each position.
Space group Amm2 (No. 38)
Asymmetric unit:
Zr (0.0000, 0.0000, 0.0000) [2 per cell]  2 N 2.27
Zr (0.0000, 0.1107, 0.6395) [4 per cell]  2 N 2.68, 1 Zr 2.91
Zr (0.5000, 0.0000, 0.3471) [2 per cell]  4 Sb 2.94, 6 Zr 3.24-3.25
Zr (0.5000, 0.1974, 0.9547) [4 per cell]  1 N 2.81, 4 Sb 2.92-2.97
Sb (0.0000, 0.1708, 0.2563) [4 per cell]  9 Zr 2.92-3.11
N (0.5000, 0.0000, 0.8186) [2 per cell]  2 Zr 2.27

Its mass density is 7.3 g cm⁻³. The total DFT energy (no corrections) comes out at -8.11 eV per atom.

=====

# 6
First-principles (PBE) data for YGa2Tc after structural relaxation, as listed in the Alexandria database.

abc: 6.5739 6.5739 6.5739
angles: 90.00 90.00 90.00
Closest atoms and distances in Å follow each position.
Space group Fm-3m (No. 225)
Asymmetric unit:
Y (0.0000, 0.0000, 0.0000) [4 per cell]  8 Ga 2.85
Ga (0.2500, 0.2500, 0.2500) [8 per cell]  4 Tc 2.85, 4 Y 2.85
Tc (0.0000, 0.0000, 0.5000) [4 per cell]  8 Ga 2.85

The distance to the lowest polymorph of the same formula is 63 meV per atom. Its mass density is 7.6 g cm⁻³. The total DFT energy (no corrections) comes out at -5.97 eV per atom. The energy of formation from the pure elements is -0.2466 eV per atom.

=====

# 7
First-principles (PBE) data for MgFe2Ru after structural relaxation, as listed in the Alexandria database.

abc: 4.0351 4.0351 3.3970
angles: 90.00 90.00 90.00
Closest atoms and distances in Å follow each position.
Space group P4/mmm (No. 123)
Asymmetric unit:
Mg (0.0000, 0.0000, 0.0000) [1 per cell]  8 Fe 2.64, 4 Ru 2.85
Fe (0.0000, 0.5000, 0.5000) [2 per cell]  4 Ru 2.64, 4 Mg 2.64, 4 Fe 2.85
Ru (0.5000, 0.5000, 0.0000) [1 per cell]  8 Fe 2.64, 4 Mg 2.85

Its mass density is 7.1 g cm⁻³. The total DFT energy (no corrections) comes out at -6.75 eV per atom. The energy of formation from the pure elements is 0.2039 eV per atom.

=====

# 8
First-principles (PBE) data for HfTh2N4 after structural relaxation, as listed in the Alexandria database.

abc: 6.2247 6.3194 6.9471
angles: 90.00 112.39 90.00
Closest atoms and distances in Å follow each position.
Space group P2_1/m (No. 11)
Asymmetric unit:
Hf (0.2108, 0.2500, 0.1847) [2 per cell]  4 N 2.02-2.09
Th (0.2358, 0.7500, 0.4718) [2 per cell]  4 N 2.26-2.51
Th (0.3537, 0.7500, 0.0113) [2 per cell]  4 N 2.33-2.49
N (0.0193, 0.7500, 0.6692) [2 per cell]  1 Hf 2.05, 1 Th 2.26
N (0.0262, 0.7500, 0.1098) [2 per cell]  1 Hf 2.02
N (0.4751, 0.0249, 0.2524) [4 per cell]  1 Hf 2.09, 1 Th 2.33

Its mass density is 9.2 g cm⁻³. The total DFT energy (no corrections) comes out at -9.63 eV per atom.

=====

no.,total magnetization (μB/atom)
1,0.0000
2,0.0000
3,0.0000
4,0.0000
5,0.0142
6,0.0000
7,1.5377
8,0.0000